w) Material: Li5VF8
Method: DFT, GGA+U
State: optimized geometry

Values from the calculation:
As for the volume: 10.572 A^3/atom. The calculation puts the spin magnetization at 0.143 μB per atom.

Structure (CIF):
```
data_Li5VF8
_cell_length_a 5.7673
_cell_length_b 5.9149
_cell_length_c 8.6779
_cell_angle_alpha 90.00
_cell_angle_beta 90.00
_cell_angle_gamma 90.00
_symmetry_space_group_name_H-M 'I m m m'
_symmetry_Int_Tables_number 71
_symmetry_space_group_name_Hall '-I 2 2'
loop_
_atom_site_label
_atom_site_fract_x
_atom_site_fract_y
_atom_site_fract_z
Li1 0.0000 0.0000 0.0000
Li2 0.2500 0.2500 0.2500
V1 0.0000 0.5000 0.0000
F1 0.0000 0.0000 0.2288
F2 0.0000 0.5000 0.2329
F3 0.2297 0.2613 0.0000
```



x) Material: Li5VF8
Method: DFT, GGA+U
State: optimized geometry

Values from the calculation:
As for the volume: 10.572 A^3/atom. The calculation puts the spin magnetization at 0.143 μB per atom.

Structure (CIF):
```
data_Li5VF8
_cell_length_a 5.7987
_cell_length_b 8.5671
_cell_length_c 5.9589
_cell_angle_alpha 90.00
_cell_angle_beta 90.00
_cell_angle_gamma 90.00
_symmetry_space_group_name_H-M 'C m m m'
_symmetry_Int_Tables_number 65
_symmetry_space_group_name_Hall '-C 2 2'
loop_
_atom_site_label
_atom_site_fract_x
_atom_site_fract_y
_atom_site_fract_z
Li1 0.0000 0.0000 0.0000
Li2 0.2500 0.2500 0.2287
V1 0.0000 0.0000 0.5000
F1 0.0000 0.2302 0.0000
F2 0.0000 0.2347 0.5000
F3 0.2273 0.0000 0.2600
```



w) is the least stable structure shown above.